1.
# AlAg2Pb | Alexandria via LeMat-Bulk | PBE | relaxed
# Formation enthalpy at 0 K: 75 meV per atom
# Energy above the lowest structure with this stoichiometry: 0.0335 eV/atom
data_AlAg2Pb
_chemical_formula_sum 'Al3 Ag6 Pb3'
_space_group_name_H-M_alt 'R -3 m'
_space_group_IT_number 166
_space_group_name_Hall '-R 3 2"'
_cell_length_a 3.2696
_cell_length_b 3.2696
_cell_length_c 27.3250
_cell_angle_alpha 90.00
_cell_angle_beta 90.00
_cell_angle_gamma 120.00
loop_
_atom_site_label
_atom_site_fract_x
_atom_site_fract_y
_atom_site_fract_z
Al1 0.0000 0.0000 0.0000
Ag1 0.0000 0.0000 0.2617
Pb1 0.0000 0.0000 0.5000

***

2.
# La3PrEr8 | Alexandria via LeMat-Bulk | PBE | relaxed
# Formation enthalpy at 0 K: 269 meV per atom
data_La3PrEr8
_chemical_formula_sum 'La6 Pr2 Er16'
_space_group_name_H-M_alt 'I m m m'
_space_group_IT_number 71
_space_group_name_Hall '-I 2 2'
_cell_length_a 6.409
_cell_length_b 11.464
_cell_length_c 11.550
_cell_angle_alpha 90.00
_cell_angle_beta 90.00
_cell_angle_gamma 90.00
loop_
_atom_site_label
_atom_site_fract_x
_atom_site_fract_y
_atom_site_fract_z
La1 0.000 0.000 0.000
La2 0.000 0.249 0.500
Pr1 0.000 0.500 0.000
Er1 0.000 0.250 0.175
Er2 0.249 0.000 0.251

***

3.
# TmCdAuO4 | Alexandria via LeMat-Bulk | PBE | relaxed
# Raw formation energy: -1.51 eV per atom
data_TmCdAuO4
_chemical_formula_sum 'Tm4 Cd4 Au4 O16'
_space_group_name_H-M_alt 'I m m a'
_space_group_IT_number 74
_space_group_name_Hall '-I 2b 2'
_cell_length_a 6.415
_cell_length_b 6.683
_cell_length_c 10.192
_cell_angle_alpha 90.00
_cell_angle_beta 90.00
_cell_angle_gamma 90.00
loop_
_atom_site_label
_atom_site_fract_x
_atom_site_fract_y
_atom_site_fract_z
Tm1 0.000 0.000 0.000
Cd1 0.000 0.250 0.362
Au1 0.250 0.250 0.750
O1 0.000 0.055 0.772
O2 0.214 0.250 0.038

***

4.
# CsAs2RhF | Alexandria via LeMat-Bulk | PBE | relaxed
# Raw formation energy: -0.58 eV per atom
data_CsAs2RhF
_chemical_formula_sum 'Cs1 As2 Rh1 F1'
_space_group_name_H-M_alt 'P 4/m m m'
_space_group_IT_number 123
_space_group_name_Hall '-P 4 2'
_cell_length_a 4.590
_cell_length_b 4.590
_cell_length_c 7.929
_cell_angle_alpha 90.00
_cell_angle_beta 90.00
_cell_angle_gamma 90.00
loop_
_atom_site_label
_atom_site_fract_x
_atom_site_fract_y
_atom_site_fract_z
Cs1 0.000 0.000 0.000
As1 0.000 0.500 0.500
Rh1 0.500 0.500 0.500
F1 0.500 0.500 0.000

***

Record order is preserved below.
V: 84; 424; 109; 167 Å³/f.u.